Density functional theory data (PBE) for a relaxed CsSmNiTe3 crystal.

The energy above the most stable polymorph in this dataset comes out at 0.064 eV per atom. As for the size of the total moment: 0.00 μB per formula unit. For the mass density, the calculation gives 6036 kg/m3. The crystal system is orthorhombic.

It has space group Pnma (No. 62), with a = 12.179 Å, b = 4.616 Å, c = 14.186 Å, α = 90.00°, β = 90.00° and γ = 90.00°. The inequivalent atoms are Cs at (0.155, 0.250, 0.001), Sm at (0.005, 0.250, 0.658), Ni at (0.227, 0.250, 0.294), Te at (0.062, 0.750, 0.800), Te at (0.119, 0.250, 0.451) and Te at (0.218, 0.750, 0.219).

***

Density functional theory data (PBE) for a relaxed CsNiSn crystal.

As for the size of the total moment: 0.00 μB per formula unit. As for the total energy: -8.4 eV/f.u. For the mass density, the calculation gives 5398 kg/m3. The crystal system is cubic.

It has space group F-43m (No. 216), with a = 7.255 Å, b = 7.255 Å, c = 7.255 Å, α = 90.00°, β = 90.00° and γ = 90.00°. The inequivalent atoms are Cs at (0.000, 0.000, 0.000), Ni at (0.250, 0.250, 0.250) and Sn at (0.000, 0.000, 0.500).